# 1
Entry from Alexandria via LeMat-Bulk: HfNb2SnTe after structural relaxation (GGA-PBE).

```
data_HfNb2SnTe
_cell_length_a 5.081
_cell_length_b 5.081
_cell_length_c 5.298
_cell_angle_alpha 90.00
_cell_angle_beta 90.00
_cell_angle_gamma 90.00
_symmetry_space_group_name_H-M 'P 4/m m m'
_symmetry_Int_Tables_number 123
_symmetry_space_group_name_Hall '-P 4 2'
loop_
_atom_site_label
_atom_site_fract_x
_atom_site_fract_y
_atom_site_fract_z
Hf1 0.000 0.000 0.000
Nb1 0.000 0.500 0.500
Sn1 0.000 0.000 0.500
Te1 0.500 0.500 0.000
```

For the density of states at the Fermi level, the calculation gives 11.1 states/eV/f.u. Its calculated total energy is -30.50 eV for the cell shown. As for the formation energy (no corrections): 1.35 eV/atom.

---

# 2
Entry from Alexandria via LeMat-Bulk: Hf3Ti2NbSn3 after structural relaxation (GGA-PBE).

```
data_Hf3Ti2NbSn3
_cell_length_a 8.3248
_cell_length_b 8.3248
_cell_length_c 3.0740
_cell_angle_alpha 90.00
_cell_angle_beta 90.00
_cell_angle_gamma 120.00
_symmetry_space_group_name_H-M 'P -6 2 m'
_symmetry_Int_Tables_number 189
_symmetry_space_group_name_Hall 'P -6 -2'
loop_
_atom_site_label
_atom_site_fract_x
_atom_site_fract_y
_atom_site_fract_z
Hf1 0.0000 0.7041 0.0000
Ti1 0.3333 0.6667 0.0000
Nb1 0.0000 0.0000 0.5000
Sn1 0.0000 0.3703 0.5000
```

For the density of states at the Fermi level, the calculation gives 8.7 states/eV/f.u. Its calculated total energy is -68.40 eV for the cell shown.

---

# 3
Entry from Alexandria via LeMat-Bulk: Sr2HfNb after structural relaxation (GGA-PBE).

```
data_Sr2HfNb
_cell_length_a 7.887
_cell_length_b 7.887
_cell_length_c 7.887
_cell_angle_alpha 90.00
_cell_angle_beta 90.00
_cell_angle_gamma 90.00
_symmetry_space_group_name_H-M 'F m -3 m'
_symmetry_Int_Tables_number 225
_symmetry_space_group_name_Hall '-F 4 2 3'
loop_
_atom_site_label
_atom_site_fract_x
_atom_site_fract_y
_atom_site_fract_z
Sr1 0.250 0.250 0.250
Hf1 0.000 0.000 0.000
Nb1 0.000 0.000 0.500
```

For the density of states at the Fermi level, the calculation gives 4.7 states/eV/f.u. Its calculated total energy is -75.10 eV for the cell shown.

---

# 4
Entry from Alexandria via LeMat-Bulk: SrHf3Nb after structural relaxation (GGA-PBE).

```
data_SrHf3Nb
_cell_length_a 5.242
_cell_length_b 5.242
_cell_length_c 5.242
_cell_angle_alpha 90.00
_cell_angle_beta 90.00
_cell_angle_gamma 90.00
_symmetry_space_group_name_H-M 'P m -3 m'
_symmetry_Int_Tables_number 221
_symmetry_space_group_name_Hall '-P 4 2 3'
loop_
_atom_site_label
_atom_site_fract_x
_atom_site_fract_y
_atom_site_fract_z
Sr1 0.000 0.000 0.000
Hf1 0.000 0.500 0.500
Nb1 0.500 0.500 0.500
```

For the density of states at the Fermi level, the calculation gives 10.0 states/eV/f.u. Its calculated total energy is -37.75 eV for the cell shown.

---

# 5
Entry from Alexandria via LeMat-Bulk: SrHfNb3 after structural relaxation (GGA-PBE).

```
data_SrHfNb3
_cell_length_a 5.103
_cell_length_b 5.103
_cell_length_c 5.103
_cell_angle_alpha 90.00
_cell_angle_beta 90.00
_cell_angle_gamma 90.00
_symmetry_space_group_name_H-M 'P m -3 m'
_symmetry_Int_Tables_number 221
_symmetry_space_group_name_Hall '-P 4 2 3'
loop_
_atom_site_label
_atom_site_fract_x
_atom_site_fract_y
_atom_site_fract_z
Sr1 0.000 0.000 0.000
Hf1 0.500 0.500 0.500
Nb1 0.000 0.500 0.500
```

For the density of states at the Fermi level, the calculation gives 9.7 states/eV/f.u. Its calculated total energy is -35.22 eV for the cell shown.

---

# 6
Entry from Alexandria via LeMat-Bulk: SrHf3Nb after structural relaxation (GGA-PBE).

```
data_SrHf3Nb
_cell_length_a 4.996
_cell_length_b 4.996
_cell_length_c 4.996
_cell_angle_alpha 90.00
_cell_angle_beta 90.00
_cell_angle_gamma 90.00
_symmetry_space_group_name_H-M 'P m -3 m'
_symmetry_Int_Tables_number 221
_symmetry_space_group_name_Hall '-P 4 2 3'
loop_
_atom_site_label
_atom_site_fract_x
_atom_site_fract_y
_atom_site_fract_z
Sr1 0.000 0.000 0.000
Hf1 0.000 0.000 0.500
Nb1 0.500 0.500 0.500
```

For the density of states at the Fermi level, the calculation gives 7.1 states/eV/f.u. Its calculated total energy is -30.55 eV for the cell shown.

---

# 7
Entry from Alexandria via LeMat-Bulk: Sr2HfNb after structural relaxation (GGA-PBE).

```
data_Sr2HfNb
_cell_length_a 9.019
_cell_length_b 9.019
_cell_length_c 6.092
_cell_angle_alpha 90.00
_cell_angle_beta 90.00
_cell_angle_gamma 90.00
_symmetry_space_group_name_H-M 'I -4 2 d'
_symmetry_Int_Tables_number 122
_symmetry_space_group_name_Hall 'I -4 2bw'
loop_
_atom_site_label
_atom_site_fract_x
_atom_site_fract_y
_atom_site_fract_z
Sr1 0.230 0.250 0.125
Hf1 0.000 0.000 0.500
Nb1 0.000 0.000 0.000
```

For the density of states at the Fermi level, the calculation gives 4.7 states/eV/f.u. Its calculated total energy is -72.77 eV for the cell shown.

---

# 8
Entry from Alexandria via LeMat-Bulk: SrHf2NbV after structural relaxation (GGA-PBE).

```
data_SrHf2NbV
_cell_length_a 5.072
_cell_length_b 5.072
_cell_length_c 4.396
_cell_angle_alpha 90.00
_cell_angle_beta 90.00
_cell_angle_gamma 90.00
_symmetry_space_group_name_H-M 'P 4/m m m'
_symmetry_Int_Tables_number 123
_symmetry_space_group_name_Hall '-P 4 2'
loop_
_atom_site_label
_atom_site_fract_x
_atom_site_fract_y
_atom_site_fract_z
Sr1 0.000 0.000 0.000
Hf1 0.000 0.500 0.000
Nb1 0.500 0.500 0.500
V1 0.000 0.000 0.500
```

For the density of states at the Fermi level, the calculation gives 7.2 states/eV/f.u. Its calculated total energy is -29.62 eV for the cell shown.

---

# 9
Entry from Alexandria via LeMat-Bulk: HfTa2Nb after structural relaxation (GGA-PBE).

```
data_HfTa2Nb
_cell_length_a 2.829
_cell_length_b 22.519
_cell_length_c 4.888
_cell_angle_alpha 90.00
_cell_angle_beta 90.00
_cell_angle_gamma 90.00
_symmetry_space_group_name_H-M 'C m c m'
_symmetry_Int_Tables_number 63
_symmetry_space_group_name_Hall '-C 2c 2'
loop_
_atom_site_label
_atom_site_fract_x
_atom_site_fract_y
_atom_site_fract_z
Hf1 0.000 0.095 0.250
Ta1 0.000 0.280 0.750
Ta2 0.000 0.469 0.250
Nb1 0.000 0.343 0.250
```

For the density of states at the Fermi level, the calculation gives 4.5 states/eV/f.u. Its calculated total energy is -171.61 eV for the cell shown.

---

# 10
Entry from Alexandria via LeMat-Bulk: Hf2TaNb2 after structural relaxation (GGA-PBE).

```
data_Hf2TaNb2
_cell_length_a 7.210
_cell_length_b 7.210
_cell_length_c 3.988
_cell_angle_alpha 90.00
_cell_angle_beta 90.00
_cell_angle_gamma 90.00
_symmetry_space_group_name_H-M 'P 4/m b m'
_symmetry_Int_Tables_number 127
_symmetry_space_group_name_Hall '-P 4 2ab'
loop_
_atom_site_label
_atom_site_fract_x
_atom_site_fract_y
_atom_site_fract_z
Hf1 0.158 0.342 0.000
Ta1 0.000 0.000 0.500
Nb1 0.148 0.648 0.500
```

For the density of states at the Fermi level, the calculation gives 5.9 states/eV/f.u. Its calculated total energy is -100.52 eV for the cell shown.

---

# 11
Entry from Alexandria via LeMat-Bulk: HfTaNb after structural relaxation (GGA-PBE).

```
data_HfTaNb
_cell_length_a 5.412
_cell_length_b 5.638
_cell_length_c 7.872
_cell_angle_alpha 90.00
_cell_angle_beta 90.00
_cell_angle_gamma 90.00
_symmetry_space_group_name_H-M 'I m m a'
_symmetry_Int_Tables_number 74
_symmetry_space_group_name_Hall '-I 2b 2'
loop_
_atom_site_label
_atom_site_fract_x
_atom_site_fract_y
_atom_site_fract_z
Hf1 0.000 0.250 0.126
Ta1 0.000 0.000 0.500
Nb1 0.250 0.250 0.750
```

For the density of states at the Fermi level, the calculation gives 6.6 states/eV/f.u. Its calculated total energy is -126.84 eV for the cell shown.

---

# 12
Entry from Alexandria via LeMat-Bulk: HfTa2Nb3 after structural relaxation (GGA-PBE).

```
data_HfTa2Nb3
_cell_length_a 4.8931
_cell_length_b 4.8931
_cell_length_c 11.1211
_cell_angle_alpha 90.00
_cell_angle_beta 90.00
_cell_angle_gamma 120.00
_symmetry_space_group_name_H-M 'P 63/m m c'
_symmetry_Int_Tables_number 194
_symmetry_space_group_name_Hall '-P 6c 2c'
loop_
_atom_site_label
_atom_site_fract_x
_atom_site_fract_y
_atom_site_fract_z
Hf1 0.0000 0.0000 0.2500
Ta1 0.3333 0.6667 0.1229
Nb1 0.0000 0.0000 0.0000
Nb2 0.3333 0.6667 0.6225
```

For the density of states at the Fermi level, the calculation gives 8.4 states/eV/f.u. Its calculated total energy is -125.31 eV for the cell shown.